A relaxed structure of ZnFeRhW, computed with PBE-GGA.

Cell: 6.0301 6.0301 6.0301 Å, 90.00 90.00 90.00°
Space group F-43m (No. 216)
Asymmetric unit:
Zn (0.0000, 0.0000, 0.0000) [4 per cell]
Fe (0.2500, 0.2500, 0.2500) [4 per cell]
Rh (0.2500, 0.2500, 0.7500) [4 per cell]
W (0.0000, 0.0000, 0.5000) [4 per cell]

Summary:
Theoretical density   12.36 g/cm³
Total energy   -120.104 eV for the cell shown

=====

A relaxed structure of YFeRh, computed with PBE-GGA.

Cell: 3.2843 3.2843 10.0558 Å, 90.00 90.00 90.00°
Space group I4mm (No. 107)
Asymmetric unit:
Y (0.0000, 0.0000, 0.0000) [2 per cell]
Fe (0.0000, 0.0000, 0.6928) [2 per cell]
Rh (0.0000, 0.0000, 0.3145) [2 per cell]

Summary:
Theoretical density   7.58 g/cm³
Total energy   -45.451 eV for the cell shown

=====

A relaxed structure of YFeRh, computed with PBE-GGA.

Cell: 6.3301 6.3301 6.3301 Å, 90.00 90.00 90.00°
Space group F-43m (No. 216)
Asymmetric unit:
Y (0.0000, 0.0000, 0.0000) [4 per cell]
Fe (0.0000, 0.0000, 0.5000) [4 per cell]
Rh (0.2500, 0.2500, 0.2500) [4 per cell]

Summary:
Theoretical density   6.49 g/cm³
Total energy   -89.148 eV for the cell shown

=====

A relaxed structure of YFeRh3, computed with PBE-GGA.

Cell: 4.8465 4.8465 4.8465 Å, 90.00 90.00 90.00°
Space group Pm-3m (No. 221)
Asymmetric unit:
Y (0.0000, 0.0000, 0.0000) [1 per cell]
Fe (0.5000, 0.5000, 0.5000) [1 per cell]
Rh (0.0000, 0.0000, 0.5000) [3 per cell]

Summary:
Theoretical density   6.61 g/cm³
Total energy   -29.703 eV for the cell shown
Relative energy among the computed polymorphs   1333 meV/atom

=====

A relaxed structure of YFe4Rh, computed with PBE-GGA.

Cell: 7.0568 7.0568 7.0568 Å, 90.00 90.00 90.00°
Space group F-43m (No. 216)
Asymmetric unit:
Y (0.0000, 0.0000, 0.0000) [4 per cell]
Fe (0.1245, 0.1245, 0.3755) [16 per cell]
Rh (0.2500, 0.2500, 0.7500) [4 per cell]

Summary:
Theoretical density   7.85 g/cm³
Total energy   -192.423 eV for the cell shown

=====

A relaxed structure of YFeRh, computed with PBE-GGA.

Cell: 4.0835 4.0835 4.0352 Å, 90.00 90.00 120.00°
Space group P-6m2 (No. 187)
Asymmetric unit:
Y (0.0000, 0.0000, 0.0000) [1 per cell]
Fe (0.3333, 0.6667, 0.5000) [1 per cell]
Rh (0.6667, 0.3333, 0.5000) [1 per cell]

Summary:
Theoretical density   7.06 g/cm³
Total energy   -23.211 eV for the cell shown